# 1
First-principles (PBE) data for crystalline InHg2As at its relaxed geometry, as listed in Alexandria via LeMat-Bulk.

Results
Volume in Å³ per cell: 99.2
E in eV/atom: -1.86
Total magnetization in μB/cell: 0.0
DOS(E_F) in states/eV per atom: 0.465

abc: 5.679 4.180 4.180
angles: 90.00 90.00 90.00
Positions (direct):
As  0.500  0.000  0.500
Hg  0.000  0.000  0.000
Hg  0.000  0.500  0.500
In  0.500  0.500  0.000


# 2
First-principles (PBE) data for crystalline InHgAs2 at its relaxed geometry, as listed in Alexandria via LeMat-Bulk.

Results
Volume in Å³ per cell: 103.3
E in eV/atom: -2.99
Total magnetization in μB/cell: 0.0
Energy above the lowest structure with this stoichiometry in meV per atom: 69.0
DOS(E_F) in states/eV per atom: 0.377

abc: 6.502 6.502 6.502
angles: 147.27 135.54 56.29
Positions (direct):
As  0.945  0.945  0.000
As  0.797  0.297  0.500
Hg  0.537  0.537  0.000
In  0.221  0.721  0.500


# 3
First-principles (PBE) data for crystalline In3Hg12As5 at its relaxed geometry, as listed in Alexandria via LeMat-Bulk.

Results
Volume in Å³ per cell: 2280.4
E in eV/atom: -1.62
Total magnetization in μB/cell: 0.0
DOS(E_F) in states/eV per atom: 0.283

abc: 14.362 14.362 14.362
angles: 109.47 109.47 109.47
Positions (direct):
In  0.750  0.375  0.125
In  0.875  0.750  0.125
In  0.375  0.750  0.625
In  0.250  0.125  0.375
In  0.875  0.125  0.250
In  0.375  0.625  0.250
In  0.625  0.375  0.750
In  0.125  0.875  0.750
In  0.750  0.875  0.625
In  0.625  0.250  0.375
In  0.125  0.250  0.875
In  0.250  0.625  0.875
As  0.125  0.375  0.250
As  0.000  0.500  0.000
As  0.000  0.000  0.000
As  0.375  0.250  0.125
As  0.500  0.000  0.500
As  0.500  0.500  0.000
As  0.125  0.750  0.375
As  0.750  0.125  0.875
As  0.750  0.625  0.375
As  0.375  0.125  0.750
As  0.625  0.875  0.250
As  0.500  0.500  0.500
As  0.500  0.000  0.000
As  0.000  0.000  0.500
As  0.250  0.375  0.625
As  0.250  0.875  0.125
As  0.000  0.500  0.500
As  0.875  0.250  0.625
As  0.625  0.750  0.875
As  0.875  0.625  0.750
Hg  0.725  0.116  0.047
Hg  0.322  0.547  0.430
Hg  0.953  0.384  0.275
Hg  0.547  0.225  0.116
Hg  0.608  0.725  0.678
Hg  0.953  0.570  0.178
Hg  0.322  0.775  0.392
Hg  0.070  0.892  0.116
Hg  0.570  0.953  0.678
Hg  0.725  0.608  0.178
Hg  0.775  0.453  0.384
Hg  0.822  0.930  0.047
Hg  0.116  0.725  0.547
Hg  0.384  0.430  0.108
Hg  0.108  0.930  0.384
Hg  0.392  0.116  0.570
Hg  0.108  0.178  0.225
Hg  0.453  0.678  0.070
Hg  0.822  0.892  0.275
Hg  0.116  0.392  0.070
Hg  0.384  0.953  0.775
Hg  0.570  0.616  0.392
Hg  0.930  0.822  0.547
Hg  0.775  0.322  0.892
Hg  0.430  0.384  0.608
Hg  0.070  0.178  0.453
Hg  0.225  0.678  0.108
Hg  0.178  0.108  0.725
Hg  0.616  0.047  0.225
Hg  0.884  0.608  0.930
Hg  0.547  0.322  0.930
Hg  0.608  0.884  0.430
Hg  0.892  0.822  0.775
Hg  0.892  0.070  0.616
Hg  0.884  0.275  0.453
Hg  0.178  0.070  0.953
Hg  0.616  0.570  0.892
Hg  0.430  0.047  0.322
Hg  0.275  0.392  0.822
Hg  0.225  0.547  0.616
Hg  0.930  0.108  0.884
Hg  0.678  0.225  0.608
Hg  0.453  0.775  0.884
Hg  0.047  0.430  0.822
Hg  0.392  0.275  0.322
Hg  0.047  0.616  0.725
Hg  0.678  0.453  0.570
Hg  0.275  0.884  0.953


# 4
First-principles (PBE) data for crystalline InHgAs2 at its relaxed geometry, as listed in Alexandria via LeMat-Bulk.

Results
Volume in Å³ per cell: 99.3
E in eV/atom: -3.00
Total magnetization in μB/cell: 0.0
Energy above the lowest structure with this stoichiometry in meV per atom: 54.3
DOS(E_F) in states/eV per atom: 0.330

abc: 4.680 5.500 6.178
angles: 133.20 121.04 68.96
Positions (direct):
As  0.130  0.870  0.949
As  0.123  0.877  0.550
Hg  0.618  0.382  0.002
In  0.629  0.371  0.499


# 5
First-principles (PBE) data for crystalline In2HgAs at its relaxed geometry, as listed in Alexandria via LeMat-Bulk.

Results
Volume in Å³ per cell: 98.4
E in eV/atom: -2.52
Total magnetization in μB/cell: 0.0
Energy above the lowest structure with this stoichiometry in meV per atom: 139.8
DOS(E_F) in states/eV per atom: 0.458

abc: 8.182 5.009 3.923
angles: 90.16 61.13 128.88
Positions (direct):
As  0.000  0.500  0.500
Hg  0.500  0.500  0.000
In  0.000  0.000  0.000
In  0.500  0.000  0.500


# 6
First-principles (PBE) data for crystalline InHg2As at its relaxed geometry, as listed in Alexandria via LeMat-Bulk.

Results
Volume in Å³ per cell: 95.6
E in eV/atom: -1.78
Total magnetization in μB/cell: 0.0
DOS(E_F) in states/eV per atom: 0.242

abc: 10.382 10.382 10.382
angles: 18.23 18.23 18.23
Positions (direct):
As  0.750  0.750  0.750
Hg  0.003  0.003  0.003
Hg  0.497  0.497  0.497
In  0.250  0.250  0.250


# 7
First-principles (PBE) data for crystalline InHgAs2 at its relaxed geometry, as listed in Alexandria via LeMat-Bulk.

Results
Volume in Å³ per cell: 90.1
E in eV/atom: -2.79
Total magnetization in μB/cell: 0.0
Energy above the lowest structure with this stoichiometry in meV per atom: 260.2
DOS(E_F) in states/eV per atom: 0.444

abc: 3.825 5.017 4.695
angles: 90.00 90.00 90.00
Positions (direct):
As  0.000  0.000  0.000
As  0.500  0.500  0.000
Hg  0.500  0.000  0.500
In  0.000  0.500  0.500


# 8
First-principles (PBE) data for crystalline InHgAs2 at its relaxed geometry, as listed in Alexandria via LeMat-Bulk.

Results
Volume in Å³ per cell: 99.6
E in eV/atom: -3.04
Total magnetization in μB/cell: 0.0
Energy above the lowest structure with this stoichiometry in meV per atom: 17.2
DOS(E_F) in states/eV per atom: 0.351

abc: 3.776 3.776 8.383
angles: 80.30 80.30 58.10
Positions (direct):
As  0.021  0.021  0.960
As  0.729  0.729  0.788
Hg  0.495  0.495  0.514
In  0.255  0.255  0.238


# 9
First-principles (PBE) data for crystalline InHgAs2 at its relaxed geometry, as listed in Alexandria via LeMat-Bulk.

Results
Volume in Å³ per cell: 90.5
E in eV/atom: -2.75
Total magnetization in μB/cell: 0.0
Energy above the lowest structure with this stoichiometry in meV per atom: 301.5
DOS(E_F) in states/eV per atom: 0.632

abc: 5.508 5.508 5.508
angles: 132.00 132.00 70.22
Positions (direct):
As  0.000  0.000  0.000
As  0.500  0.500  0.000
Hg  0.250  0.750  0.500
In  0.750  0.250  0.500


# 10
First-principles (PBE) data for crystalline In2HgAs at its relaxed geometry, as listed in Alexandria via LeMat-Bulk.

Results
Volume in Å³ per cell: 104.1
E in eV/atom: -2.59
Total magnetization in μB/cell: 0.0
Energy above the lowest structure with this stoichiometry in meV per atom: 76.1
DOS(E_F) in states/eV per atom: 0.269

abc: 6.985 6.985 6.985
angles: 147.22 145.46 48.35
Positions (direct):
As  0.531  0.531  0.000
Hg  0.292  0.792  0.500
In  0.977  0.977  0.000
In  0.700  0.200  0.500


# 11
First-principles (PBE) data for crystalline In2HgAs at its relaxed geometry, as listed in Alexandria via LeMat-Bulk.

Results
Volume in Å³ per cell: 101.3
E in eV/atom: -2.55
Total magnetization in μB/cell: 0.0
Energy above the lowest structure with this stoichiometry in meV per atom: 109.7
DOS(E_F) in states/eV per atom: 0.411

abc: 5.232 5.232 5.232
angles: 60.00 60.00 60.00
Positions (direct):
As  0.000  0.000  0.000
Hg  0.500  0.500  0.500
In  0.250  0.250  0.250
In  0.750  0.750  0.750


# 12
First-principles (PBE) data for crystalline In2HgAs at its relaxed geometry, as listed in Alexandria via LeMat-Bulk.

Results
Volume in Å³ per cell: 101.3
E in eV/atom: -2.54
Total magnetization in μB/cell: 0.0
Energy above the lowest structure with this stoichiometry in meV per atom: 117.8
DOS(E_F) in states/eV per atom: 0.551

abc: 3.521 3.521 8.167
angles: 90.00 90.00 90.00
Positions (direct):
As  0.500  0.500  0.250
Hg  0.500  0.500  0.750
In  0.000  0.000  0.025
In  0.000  0.000  0.475


> Number 1 is which compound?

InHg2As


> What is the E in the sixth record?

-1.78 eV/atom


> Look up the total magnetization of the ninth one.

0.0 μB/cell